A geometry-optimized NiOF2 structure. Source: Alexandria, functional PBE with a Hubbard U.

POSCAR file:
```
NiOF2
1.0
3.115 0.000 0.000
-0.003 5.355 0.000
-0.075 -2.166 7.182
Ni O F
2 2 4
direct
0.000 0.000 0.000
0.500 0.500 0.000
0.013 0.120 0.502
0.994 0.889 0.497
0.003 0.389 0.136
0.497 0.111 0.865
0.503 0.888 0.135
0.996 0.611 0.864
```

The total energy is -35.068 eV for the cell shown. For the energy above the most stable polymorph in this dataset, the calculation gives 0 meV/atom. The calculation puts the volume at 119.8 Å³ per cell.